#1
Computed, not measured: a relaxed structure of NiTeMoN2 at the GGA-PBE level of DFT.

Unit cell a=3.8598 b=3.8598 c=5.7593 alpha=90.00 beta=90.00 gamma=90.00
Site moments in Bohr magnetons follow the coordinates.
Positions (direct):
Ni: 0.5000 0.5000 0.5000  0.67
Mo: 0.0000 0.0000 0.0000  -0.09
Te: 0.0000 0.0000 0.5000  0.03
N: 0.0000 0.5000 0.0000  0.09
N: 0.5000 0.0000 0.0000  0.09

Results
Total magnetization: 0.180 μB per atom

=====

#2
Computed, not measured: a relaxed structure of NiTeMoN2 at the GGA-PBE level of DFT.

Unit cell a=3.8593 b=3.8593 c=5.1510 alpha=90.00 beta=90.00 gamma=90.00
Site moments in Bohr magnetons follow the coordinates.
Positions (direct):
Ni: 0.0000 0.0000 0.0000  -0.45
Mo: 0.5000 0.5000 0.5000  2.56
Te: 0.0000 0.0000 0.5000  -0.10
N: 0.0000 0.5000 0.0000  -0.79
N: 0.5000 0.0000 0.0000  -0.79

Results
Total magnetization: 0.050 μB per atom

=====

Result of the stability comparison: #1 is the most stable of them.

=====

#1
Computed, not measured: a relaxed structure of NpMoN2 at the GGA-PBE level of DFT.

Unit cell a=3.1824 b=5.6112 c=10.9009 alpha=90.00 beta=90.00 gamma=90.00
Site moments in Bohr magnetons follow the coordinates.
Positions (direct):
Np: 0.7500 0.0755 0.1445  3.08
Np: 0.2500 0.9245 0.8555  3.08
Np: 0.7500 0.5755 0.3555  3.08
Np: 0.2500 0.4245 0.6445  3.08
Mo: 0.2500 0.5707 0.0994  0.01
Mo: 0.2500 0.0707 0.4006  0.01
Mo: 0.7500 0.4293 0.9006  0.01
Mo: 0.7500 0.9293 0.5994  0.01
N: 0.7500 0.2579 0.4967  -0.06
N: 0.2500 0.7421 0.5033  -0.06
N: 0.7500 0.7579 0.0033  -0.06
N: 0.2500 0.2421 0.9967  -0.06
N: 0.7500 0.1649 0.7555  -0.11
N: 0.2500 0.3351 0.2555  -0.11
N: 0.7500 0.6649 0.7445  -0.11
N: 0.2500 0.8351 0.2445  -0.11

Results
Total magnetization: 0.757 μB per atom

=====

#2
Computed, not measured: a relaxed structure of NpMoN2 at the GGA-PBE level of DFT.

Unit cell a=3.5260 b=3.5260 c=6.1923 alpha=73.46 beta=73.46 gamma=60.00
Site moments in Bohr magnetons follow the coordinates.
Positions (direct):
Np: 0.5000 0.5000 0.5000  2.87
Mo: 0.0000 0.0000 0.0000  0.53
N: 0.1106 0.1106 0.6682  -0.10
N: 0.8894 0.8894 0.3318  -0.10

Results
Total magnetization: 0.849 μB per atom

=====

Result of the stability comparison: #1 is the most stable of them.

=====

#1
Computed, not measured: a relaxed structure of NpMoN at the GGA-PBE level of DFT.

Unit cell a=2.8042 b=2.8042 c=6.0886 alpha=103.31 beta=103.31 gamma=90.00
Site moments in Bohr magnetons follow the coordinates.
Positions (direct):
Np: 0.9987 0.9987 0.9974  3.55
Mo: 0.2811 0.2811 0.5623  -0.16
N: 0.7202 0.7202 0.4403  -0.01

Results
Total magnetization: 1.144 μB per atom

=====

#2
Computed, not measured: a relaxed structure of NpMoN at the GGA-PBE level of DFT.

Unit cell a=4.2941 b=3.0333 c=9.4357 alpha=90.00 beta=90.00 gamma=135.06
Site moments in Bohr magnetons follow the coordinates.
Positions (direct):
Np: 0.6108 0.2217 0.0000  3.04
Np: 0.6114 0.2227 0.5000  3.04
N: 0.6111 0.2222 0.2500  -0.07
N: 0.6111 0.2222 0.7500  -0.07
Mo: 0.1111 0.2222 0.2500  -0.44
Mo: 0.1111 0.2222 0.7500  -0.44

Results
Total magnetization: 0.885 μB per atom

=====

Result of the stability comparison: #2 is the most stable of them.